H3IrRh | PBE | relaxed

abc: 3.439 3.439 3.439
angles: 90.00 90.00 90.00
Element x y z (fractional)
1 H 0.000 0.500 0.000
2 H 0.000 0.000 0.500
3 H 0.500 0.000 0.000
4 Ir 0.000 0.000 0.000
5 Rh 0.500 0.500 0.500

Calculated values
The value obtained for the energy relative to the lowest polymorph listed for this composition is 0.0 meV per atom. As for the space group: No. 221. For the total magnetic moment, the calculation gives 0.00 μB/cell.

RbCa3Ir | PBE | relaxed

abc: 5.747 5.747 5.747
angles: 90.00 90.00 90.00
Element x y z (fractional)
1 Ca 0.000 0.500 0.000
2 Ca 0.000 0.000 0.500
3 Ca 0.500 0.000 0.000
4 Ir 0.000 0.000 0.000
5 Rb 0.500 0.500 0.500

Calculated values
The value obtained for the energy relative to the lowest polymorph listed for this composition is 0.0 meV per atom. As for the space group: No. 221. For the total magnetic moment, the calculation gives 0.00 μB/cell. As for the formation energy: -110.2 meV per atom.

CeThCuHg | PBE | relaxed

abc: 5.252 5.252 5.252
angles: 60.00 60.00 60.00
Site moments in Bohr magnetons follow the coordinates.
Element x y z (fractional)
1 Ce 0.500 0.500 0.500  0.89
2 Hg 0.750 0.750 0.750  0.01
3 Th 0.000 0.000 0.000  0.28
4 Cu 0.250 0.250 0.250  0.03

Calculated values
As for the space group: No. 216. For the total magnetic moment, the calculation gives 1.73 μB/cell. As for the formation energy: -76.6 meV per atom.

LaScIrC2 | PBE | relaxed

abc: 4.135 4.965 4.135
angles: 90.00 90.00 90.00
Element x y z (fractional)
1 Sc 0.000 0.500 0.000
2 C 0.000 0.000 0.500
3 C 0.500 0.000 0.000
4 Ir 0.000 0.000 0.000
5 La 0.500 0.500 0.500

Calculated values
As for the space group: No. 123. For the total magnetic moment, the calculation gives 0.00 μB/cell. As for the formation energy: 998.5 meV per atom.

Q: Which formula does entry 2 have?
A: RbCa3Ir